Y2FeNi3P4: optimized geometry, GGA-PBE.

Calculated values
- ΔE_f: -9.5 eV per formula unit
- Uncorrected energy: -6.989 eV per atom
- Density of states at the Fermi level: 0.50 states/eV/atom
- Magnetic moment: 0.14 μB/atom

abc: 3.972 3.972 9.124
angles: 90.00 90.00 90.00
Space group P-4m2 (No. 115)
One atom of each set of equivalent atoms:
Y 0.000 0.500 0.245 [2 per cell]
Fe 0.000 0.000 0.500 [1 per cell]
Ni 0.000 0.500 0.881 [2 per cell]
Ni 0.500 0.500 0.500 [1 per cell]
P 0.000 0.000 0.000 [1 per cell]
P 0.000 0.500 0.630 [2 per cell]
P 0.500 0.500 0.000 [1 per cell]

ZnFeNiP2: optimized geometry, GGA-PBE.

Calculated values
- ΔE_f: 3.4 eV per formula unit
- Uncorrected energy: -4.589 eV per atom
- Density of states at the Fermi level: 1.02 states/eV/atom
- Magnetic moment: 0.56 μB/atom

abc: 4.317 4.317 4.490
angles: 90.00 90.00 90.00
Space group P4/mmm (No. 123)
One atom of each set of equivalent atoms:
Zn 0.000 0.000 0.000 [1 per cell]
Fe 0.500 0.500 0.000 [1 per cell]
Ni 0.000 0.000 0.500 [1 per cell]
P 0.000 0.500 0.500 [2 per cell]

PaFe4Ni8: optimized geometry, GGA-PBE.

Calculated values
- ΔE_f: -1.5 eV per formula unit
- Uncorrected energy: -7.011 eV per atom
- Density of states at the Fermi level: 1.25 states/eV/atom
- Magnetic moment: 0.90 μB/atom

abc: 8.312 8.312 4.656
angles: 90.00 90.00 90.00
Space group I4/mmm (No. 139)
One atom of each set of equivalent atoms:
Pa 0.000 0.000 0.000 [2 per cell]
Fe 0.250 0.250 0.250 [8 per cell]
Ni 0.000 0.218 0.500 [8 per cell]
Ni 0.000 0.352 0.000 [8 per cell]

Pa3Fe7Ni2: optimized geometry, GGA-PBE.

Calculated values
- ΔE_f: -2.4 eV per formula unit
- Uncorrected energy: -8.474 eV per atom
- Density of states at the Fermi level: 1.45 states/eV/atom
- Magnetic moment: 0.75 μB/atom

abc: 4.8568 4.8568 25.3660
angles: 90.00 90.00 120.00
Space group R-3m (No. 166, hexagonal axes)
One atom of each set of equivalent atoms:
Pa 0.0000 0.0000 0.0000 [3 per cell]
Pa 0.0000 0.0000 0.1413 [6 per cell]
Fe 0.0000 0.0000 0.5000 [3 per cell]
Fe 0.0014 0.5007 0.9186 [18 per cell]
Ni 0.0000 0.0000 0.3335 [6 per cell]

Pa2FeNi: optimized geometry, GGA-PBE.

Calculated values
- ΔE_f: -1.1 eV per formula unit
- Uncorrected energy: -8.589 eV per atom
- Density of states at the Fermi level: 1.44 states/eV/atom
- Magnetic moment: 0.00 μB/atom
- E above lowest polymorph: 0.0196 eV per atom

abc: 5.594 3.873 7.129
angles: 90.00 104.89 90.00
Space group P2_1/m (No. 11)
One atom of each set of equivalent atoms:
Pa 0.207 0.250 0.426 [2 per cell]
Pa 0.229 0.250 0.938 [2 per cell]
Fe 0.285 0.750 0.203 [2 per cell]
Ni 0.360 0.750 0.707 [2 per cell]

PaFeNi4: optimized geometry, GGA-PBE.

Calculated values
- ΔE_f: -1.1 eV per formula unit
- Uncorrected energy: -7.023 eV per atom
- Density of states at the Fermi level: 1.35 states/eV/atom
- Magnetic moment: 0.57 μB/atom

abc: 4.8216 4.8216 8.0586
angles: 90.00 90.00 120.00
Space group P-3m1 (No. 164)
One atom of each set of equivalent atoms:
Pa 0.3333 0.6667 0.0933 [2 per cell]
Fe 0.3333 0.6667 0.4741 [2 per cell]
Ni 0.0000 0.0000 0.0000 [1 per cell]
Ni 0.0000 0.0000 0.5000 [1 per cell]
Ni 0.1676 0.3352 0.7396 [6 per cell]

PaFeNi: optimized geometry, GGA-PBE.

Calculated values
- ΔE_f: -0.1 eV per formula unit
- Uncorrected energy: -7.947 eV per atom
- Density of states at the Fermi level: 1.25 states/eV/atom
- Magnetic moment: 0.00 μB/atom

abc: 4.1536 4.1536 21.9310
angles: 90.00 90.00 120.00
Space group R-3m (No. 166, hexagonal axes)
One atom of each set of equivalent atoms:
Pa 0.0000 0.0000 0.0772 [6 per cell]
Fe 0.0000 0.0000 0.1736 [6 per cell]
Ni 0.0000 0.0000 0.3308 [6 per cell]

Pa2FeNi: optimized geometry, GGA-PBE.

Calculated values
- ΔE_f: -1.2 eV per formula unit
- Uncorrected energy: -8.608 eV per atom
- Density of states at the Fermi level: 1.20 states/eV/atom
- Magnetic moment: 0.00 μB/atom
- E above lowest polymorph: 0.0000 eV per atom

abc: 6.760 5.102 10.746
angles: 90.00 128.01 90.00
Space group P2_1/c (No. 14)
One atom of each set of equivalent atoms:
Pa 0.168 0.153 0.338 [4 per cell]
Pa 0.275 0.664 0.601 [4 per cell]
Fe 0.209 0.147 0.614 [4 per cell]
Ni 0.387 0.669 0.382 [4 per cell]

PaFe4Ni15: optimized geometry, GGA-PBE.

Calculated values
- ΔE_f: -2.5 eV per formula unit
- Uncorrected energy: -6.626 eV per atom
- Density of states at the Fermi level: 0.49 states/eV/atom
- Magnetic moment: 0.94 μB/atom

abc: 3.647 3.647 17.723
angles: 90.00 90.00 90.00
Space group P4/mmm (No. 123)
One atom of each set of equivalent atoms:
Pa 0.000 0.000 0.000 [1 per cell]
Fe 0.000 0.000 0.212 [2 per cell]
Fe 0.000 0.000 0.404 [2 per cell]
Ni 0.000 0.500 0.111 [4 per cell]
Ni 0.000 0.500 0.306 [4 per cell]
Ni 0.000 0.500 0.500 [2 per cell]
Ni 0.500 0.500 0.000 [1 per cell]
Ni 0.500 0.500 0.209 [2 per cell]
Ni 0.500 0.500 0.403 [2 per cell]

Pa2Fe2Ni: optimized geometry, GGA-PBE.

Calculated values
- ΔE_f: -1.4 eV per formula unit
- Uncorrected energy: -8.613 eV per atom
- Density of states at the Fermi level: 1.13 states/eV/atom
- Magnetic moment: 0.00 μB/atom

abc: 8.425 5.339 8.384
angles: 90.00 119.07 90.00
Space group C2/c (No. 15)
One atom of each set of equivalent atoms:
Pa 0.101 0.249 0.150 [8 per cell]
Fe 0.246 0.011 0.998 [8 per cell]
Ni 0.000 0.257 0.750 [4 per cell]

PaFeNi: optimized geometry, GGA-PBE.

Calculated values
- ΔE_f: -0.3 eV per formula unit
- Uncorrected energy: -7.998 eV per atom
- Density of states at the Fermi level: 1.49 states/eV/atom
- Magnetic moment: 0.28 μB/atom

abc: 4.0528 4.0528 3.5168
angles: 90.00 90.00 120.00
Space group P-6m2 (No. 187)
One atom of each set of equivalent atoms:
Pa 0.0000 0.0000 0.0000 [1 per cell]
Fe 0.3333 0.6667 0.5000 [1 per cell]
Ni 0.6667 0.3333 0.5000 [1 per cell]

PaFeNi: optimized geometry, GGA-PBE.

Calculated values
- ΔE_f: -0.3 eV per formula unit
- Uncorrected energy: -8.019 eV per atom
- Density of states at the Fermi level: 1.32 states/eV/atom
- Magnetic moment: 0.00 μB/atom

abc: 4.325 4.397 5.129
angles: 90.00 90.00 90.00
Space group Pmma (No. 51)
One atom of each set of equivalent atoms:
Pa 0.250 0.000 0.239 [2 per cell]
Fe 0.250 0.500 0.390 [2 per cell]
Ni 0.250 0.500 0.875 [2 per cell]

Pa2Fe2Ni15: optimized geometry, GGA-PBE.

Calculated values
- ΔE_f: -4.6 eV per formula unit
- Uncorrected energy: -6.696 eV per atom
- Density of states at the Fermi level: 1.11 states/eV/atom
- Magnetic moment: 0.47 μB/atom

abc: 8.2367 8.2367 12.1774
angles: 90.00 90.00 120.00
Space group R-3m (No. 166, hexagonal axes)
One atom of each set of equivalent atoms:
Pa 0.0000 0.0000 0.1605 [6 per cell]
Fe 0.0000 0.0000 0.4056 [6 per cell]
Ni 0.0000 0.3042 0.5000 [18 per cell]
Ni 0.0000 0.5000 0.0000 [9 per cell]
Ni 0.0011 0.5006 0.6555 [18 per cell]

Pa4FeNi: optimized geometry, GGA-PBE.

Calculated values
- ΔE_f: -1.2 eV per formula unit
- Uncorrected energy: -8.904 eV per atom
- Density of states at the Fermi level: 1.39 states/eV/atom
- Magnetic moment: 0.00 μB/atom

abc: 6.700 6.700 5.430
angles: 90.00 90.00 90.00
Space group P4/mcc (No. 124)
One atom of each set of equivalent atoms:
Pa 0.154 0.336 0.000 [8 per cell]
Fe 0.000 0.000 0.250 [2 per cell]
Ni 0.500 0.500 0.250 [2 per cell]

Pa2FeNi: optimized geometry, GGA-PBE.

Calculated values
- ΔE_f: -0.2 eV per formula unit
- Uncorrected energy: -8.351 eV per atom
- Density of states at the Fermi level: 1.63 states/eV/atom
- Magnetic moment: 0.05 μB/atom
- E above lowest polymorph: 0.2577 eV per atom

abc: 4.303 4.303 3.869
angles: 90.00 90.00 90.00
Space group P4/mmm (No. 123)
One atom of each set of equivalent atoms:
Pa 0.000 0.500 0.000 [2 per cell]
Fe 0.000 0.000 0.500 [1 per cell]
Ni 0.500 0.500 0.500 [1 per cell]

PaFe4Ni: optimized geometry, GGA-PBE.

Calculated values
- ΔE_f: -0.2 eV per formula unit
- Uncorrected energy: -8.223 eV per atom
- Density of states at the Fermi level: 1.02 states/eV/atom
- Magnetic moment: 1.43 μB/atom

abc: 6.940 6.940 6.940
angles: 90.00 90.00 90.00
Space group F-43m (No. 216)
One atom of each set of equivalent atoms:
Pa 0.000 0.000 0.000 [4 per cell]
Fe 0.124 0.124 0.624 [16 per cell]
Ni 0.250 0.250 0.250 [4 per cell]

PaFe2Ni4: optimized geometry, GGA-PBE.

Calculated values
- ΔE_f: -2.0 eV per formula unit
- Uncorrected energy: -7.357 eV per atom
- Density of states at the Fermi level: 0.87 states/eV/atom
- Magnetic moment: 0.76 μB/atom

abc: 6.204 6.204 4.811
angles: 90.00 90.00 90.00
Space group I4/mmm (No. 139)
One atom of each set of equivalent atoms:
Pa 0.000 0.000 0.000 [2 per cell]
Fe 0.000 0.500 0.250 [4 per cell]
Ni 0.198 0.198 0.500 [8 per cell]

PaFeNi: optimized geometry, GGA-PBE.

Calculated values
- ΔE_f: -0.7 eV per formula unit
- Uncorrected energy: -8.135 eV per atom
- Density of states at the Fermi level: 0.75 states/eV/atom
- Magnetic moment: 0.00 μB/atom

abc: 3.698 13.429 3.717
angles: 90.00 90.00 90.00
Space group Cmcm (No. 63)
One atom of each set of equivalent atoms:
Pa 0.000 0.100 0.250 [4 per cell]
Fe 0.000 0.407 0.250 [4 per cell]
Ni 0.000 0.246 0.750 [4 per cell]

PaFeNi: optimized geometry, GGA-PBE.

Calculated values
- ΔE_f: 0.1 eV per formula unit
- Uncorrected energy: -7.891 eV per atom
- Density of states at the Fermi level: 1.39 states/eV/atom
- Magnetic moment: 0.81 μB/atom

abc: 2.966 2.966 10.877
angles: 90.00 90.00 90.00
Space group I4mm (No. 107)
One atom of each set of equivalent atoms:
Pa 0.000 0.000 0.000 [2 per cell]
Fe 0.000 0.000 0.309 [2 per cell]
Ni 0.000 0.000 0.690 [2 per cell]

Pa2FeNi: optimized geometry, GGA-PBE.

Calculated values
- ΔE_f: 1.4 eV per formula unit
- Uncorrected energy: -7.949 eV per atom
- Density of states at the Fermi level: 1.27 states/eV/atom
- Magnetic moment: 0.09 μB/atom
- E above lowest polymorph: 0.6592 eV per atom

abc: 3.0345 3.0345 27.9891
angles: 90.00 90.00 120.00
Space group R-3m (No. 166, hexagonal axes)
One atom of each set of equivalent atoms:
Pa 0.0000 0.0000 0.0898 [6 per cell]
Fe 0.0000 0.0000 0.5000 [3 per cell]
Ni 0.0000 0.0000 0.0000 [3 per cell]

PaFeNiPt: optimized geometry, GGA-PBE.

Calculated values
- ΔE_f: -1.3 eV per formula unit
- Uncorrected energy: -7.781 eV per atom
- Density of states at the Fermi level: 1.19 states/eV/atom
- Magnetic moment: 0.25 μB/atom

abc: 6.312 6.312 6.312
angles: 90.00 90.00 90.00
Space group F-43m (No. 216)
One atom of each set of equivalent atoms:
Pa 0.000 0.000 0.000 [4 per cell]
Fe 0.250 0.250 0.250 [4 per cell]
Ni 0.250 0.250 0.750 [4 per cell]
Pt 0.000 0.000 0.500 [4 per cell]

PuPaFeNi: optimized geometry, GGA-PBE.

Calculated values
- ΔE_f: -0.8 eV per formula unit
- Uncorrected energy: -9.722 eV per atom
- Density of states at the Fermi level: 1.76 states/eV/atom
- Magnetic moment: 0.81 μB/atom
- E above lowest polymorph: 0.0000 eV per atom

abc: 6.380 6.380 6.380
angles: 90.00 90.00 90.00
Space group F-43m (No. 216)
One atom of each set of equivalent atoms:
Pu 0.000 0.000 0.000 [4 per cell]
Pa 0.250 0.250 0.750 [4 per cell]
Fe 0.000 0.000 0.500 [4 per cell]
Ni 0.250 0.250 0.250 [4 per cell]

PuPaFeNi: optimized geometry, GGA-PBE.

Calculated values
- ΔE_f: -0.1 eV per formula unit
- Uncorrected energy: -9.533 eV per atom
- Density of states at the Fermi level: 2.78 states/eV/atom
- Magnetic moment: 1.21 μB/atom
- E above lowest polymorph: 0.1894 eV per atom

abc: 6.644 6.644 6.644
angles: 90.00 90.00 90.00
Space group F-43m (No. 216)
One atom of each set of equivalent atoms:
Pu 0.000 0.000 0.000 [4 per cell]
Pa 0.000 0.000 0.500 [4 per cell]
Fe 0.250 0.250 0.750 [4 per cell]
Ni 0.250 0.250 0.250 [4 per cell]

ScPaFeNi: optimized geometry, GGA-PBE.

Calculated values
- ΔE_f: -0.7 eV per formula unit
- Uncorrected energy: -7.694 eV per atom
- Density of states at the Fermi level: 1.46 states/eV/atom
- Magnetic moment: 0.12 μB/atom

abc: 6.507 6.507 6.507
angles: 90.00 90.00 90.00
Space group F-43m (No. 216)
One atom of each set of equivalent atoms:
Sc 0.000 0.000 0.000 [4 per cell]
Pa 0.000 0.000 0.500 [4 per cell]
Fe 0.250 0.250 0.250 [4 per cell]
Ni 0.250 0.250 0.750 [4 per cell]